{
  "formula": "Ba2Zn6CuRh",
  "functional": "PBE",
  "state": "relaxed",
  "lattice_angstrom": [[-3.5334, -5.9259, 0.2464], [3.7823, -2.0287, 5.4081], [-3.1013, -1.9402, 5.8611]],
  "species": ["Zn", "Zn", "Zn", "Zn", "Ba", "Zn", "Rh", "Ba", "Cu", "Zn"],
  "frac_coords": [[0.2528, 0.7475, 0.0000], [0.2529, 0.2529, 0.4943], [0.7471, 0.7473, 0.0000], [0.7472, 0.2525, 0.0000], [0.2499, 0.7499, 0.5002], [0.2529, 0.2527, 0.0000], [0.0000, 0.0000, 0.0000], [0.7501, 0.2501, 0.4998], [0.5000, 0.5000, 0.0000], [0.7471, 0.7471, 0.5057]],
  "space_group": "No. 71",
  "formation_energy_ev_per_atom": -0.219
}